(1)
CaBeCd2Te: optimized geometry, GGA-PBE.

Lattice parameters (Å, degrees): 5.729 5.781 5.729 90.00 90.00 90.00
Atoms (fractional coordinates):
Ca 0.000 0.500 0.000
Cd 0.000 0.000 0.500
Be 0.500 0.500 0.500
Te 0.000 0.000 0.000
Cd 0.500 0.000 0.000

Computed properties:
D(E_F)	3.04	states/eV/f.u.
symmetry	P4/mmm, No. 123
DFT total energy	-1.51	eV/atom
crystal system	tetragonal
E_form (uncorrected)	3.1	eV per formula unit

***

(2)
Ca2TiBeCd: optimized geometry, GGA-PBE.

Lattice parameters (Å, degrees): 5.755 5.175 5.755 90.00 90.00 90.00
Atoms (fractional coordinates):
Cd 0.000 0.500 0.000
Ca 0.500 0.000 0.000
Be 0.500 0.500 0.500
Ti 0.000 0.000 0.000
Ca 0.000 0.000 0.500

Computed properties:
D(E_F)	6.40	states/eV/f.u.
formation enthalpy at 0 K	1169	meV per atom
symmetry	P4/mmm, No. 123
DFT total energy	-2.14	eV/atom
crystal system	tetragonal

***

(3)
CaCe2Be2O6: optimized geometry, GGA-PBE.

Lattice parameters (Å, degrees): 5.535 5.535 6.062 90.00 90.00 120.00
Atoms (fractional coordinates):
Ca 0.000 0.000 0.000
O 0.314 0.381 0.762
Be 0.333 0.667 0.806
Ce 0.667 0.333 0.639
O 0.381 0.068 0.238
O 0.068 0.686 0.762
O 0.619 0.932 0.762
Be 0.667 0.333 0.194
O 0.932 0.314 0.238
Ce 0.333 0.667 0.361
O 0.686 0.619 0.238

Computed properties:
D(E_F)	10.78	states/eV/f.u.
symmetry	P-3, No. 147
DFT total energy	-7.40	eV/atom
crystal system	trigonal
E_form (uncorrected)	-30.3	eV per formula unit

***

(4)
CaBe2Cl: optimized geometry, GGA-PBE.

Lattice parameters (Å, degrees): 4.936 4.936 4.936 60.00 60.00 60.00
Atoms (fractional coordinates):
Be 0.250 0.250 0.250
Be 0.750 0.750 0.750
Cl 0.000 0.000 0.000
Ca 0.500 0.500 0.500

Computed properties:
D(E_F)	2.60	states/eV/f.u.
symmetry	Fm-3m, No. 225
offset from the most stable computed form	0.9866	eV per atom
DFT total energy	-2.04	eV/atom
crystal system	cubic
E_form (uncorrected)	3.1	eV per formula unit

***

(5)
Ca2BeCl: optimized geometry, GGA-PBE.

Lattice parameters (Å, degrees): 5.338 5.338 5.338 60.00 60.00 60.00
Atoms (fractional coordinates):
Ca 0.250 0.250 0.250
Cl 0.750 0.750 0.750
Be 0.500 0.500 0.500
Ca 0.000 0.000 0.000

Computed properties:
D(E_F)	5.07	states/eV/f.u.
symmetry	F-43m, No. 216
offset from the most stable computed form	0.8808	eV per atom
DFT total energy	-2.11	eV/atom
crystal system	cubic
E_form (uncorrected)	1.1	eV per formula unit

***

(6)
Ca2BeCl: optimized geometry, GGA-PBE.

Lattice parameters (Å, degrees): 8.217 5.325 3.331 89.71 66.50 130.30
Atoms (fractional coordinates):
Ca 0.000 0.000 0.000
Cl 0.000 0.500 0.500
Ca 0.500 0.000 0.500
Be 0.500 0.500 0.000

Computed properties:
D(E_F)	2.27	states/eV/f.u.
symmetry	C2/m, No. 12
offset from the most stable computed form	0.1768	eV per atom
DFT total energy	-2.81	eV/atom
crystal system	monoclinic
E_form (uncorrected)	-1.7	eV per formula unit

***

(7)
Ca2BeCl: optimized geometry, GGA-PBE.

Lattice parameters (Å, degrees): 6.143 6.143 4.832 90.00 90.00 33.62
Atoms (fractional coordinates):
Ca 0.741 0.741 0.625
Be 0.261 0.261 0.125
Ca 0.998 0.998 0.125
Cl 0.501 0.501 0.625

Computed properties:
D(E_F)	2.84	states/eV/f.u.
symmetry	Amm2, No. 38
offset from the most stable computed form	0.1491	eV per atom
DFT total energy	-2.84	eV/atom
crystal system	orthorhombic
E_form (uncorrected)	-1.8	eV per formula unit

***

(8)
CaBeCl: optimized geometry, GGA-PBE.

Lattice parameters (Å, degrees): 3.824 3.824 6.535 90.00 90.00 120.00
Atoms (fractional coordinates):
Be 0.000 0.000 0.048
Ca 0.333 0.667 0.352
Cl 0.667 0.333 0.600

Computed properties:
D(E_F)	1.64	states/eV/f.u.
symmetry	P3m1, No. 156
offset from the most stable computed form	0.0640	eV per atom
DFT total energy	-2.79	eV/atom
crystal system	trigonal
E_form (uncorrected)	-0.8	eV per formula unit